Entry from Alexandria via LeMat-Bulk: an optimized crystal structure of TlReRu2 (PBE).

As for the formation energy from the elements: 0.706 eV/atom. The total magnetization comes out at 0.00 μB/f.u. For the energy relative to the lowest polymorph listed for this composition, the calculation gives 413 meV/atom.

It has space group P4/mmm (No. 123), with a = 4.636 Å, b = 4.636 Å, c = 3.002 Å, α = 90.00°, β = 90.00° and γ = 90.00°. Symmetry generates all atoms from Tl at (0.000, 0.000, 0.000), Re at (0.500, 0.500, 0.000) and Ru at (0.000, 0.500, 0.500).